Below is a relaxed structure of LaFe2Bi2, with properties calculated at the GGA-PBE level.

Values from the calculation:
E above lowest polymorph: 0.0000 eV per atom
magnetization: 8.68 Bohr magnetons per cell
energy of formation from the pure elements: -0.01 eV per atom

CIF file:
```
data_LaFe2Bi2
_chemical_formula_sum 'La2 Fe4 Bi4'
_space_group_name_H-M_alt 'I 4/m m m'
_space_group_IT_number 139
_space_group_name_Hall '-I 4 2'
_cell_length_a 4.9752
_cell_length_b 4.9752
_cell_length_c 9.5106
_cell_angle_alpha 90.00
_cell_angle_beta 90.00
_cell_angle_gamma 90.00
loop_
_atom_site_label
_atom_site_fract_x
_atom_site_fract_y
_atom_site_fract_z
La1 0.0000 0.0000 0.0000
Fe1 0.0000 0.0000 0.3847
Bi1 0.0000 0.5000 0.2500
```